The following is a GGA+U calculation of a geometry-optimized Li3Mn3O3F5 structure, from the Alexandria database.

a = 6.159 Å, b = 6.159 Å, c = 6.069 Å
α = 118.46°, β = 118.46°, γ = 56.79°
Element x y z (fractional)
Li 0.000 0.000 0.000
Li 0.344 0.344 0.600
Li 0.608 0.608 0.320
Mn 0.475 0.989 0.986
Mn 0.980 0.980 0.480
Mn 0.989 0.475 0.986
O 0.214 0.214 0.754
O 0.226 0.226 0.192
O 0.748 0.748 0.204
F 0.220 0.737 0.208
F 0.229 0.735 0.743
F 0.730 0.730 0.752
F 0.735 0.229 0.743
F 0.737 0.220 0.208

Values from the calculation:
- Mass density: 3.371 g cm⁻³
- Energy: -85.19 eV/cell
- Spin magnetization: 13.00 μB/cell